{
  "formula": "NaCu5Cl8",
  "functional": "PBE",
  "state": "relaxed",
  "lattice_angstrom": [[0.000, 5.242, 5.242], [5.242, 0.000, 5.242], [5.242, 5.242, 0.000]],
  "species": ["Na", "Cu", "Cu", "Cu", "Cu", "Cu", "Cl", "Cl", "Cl", "Cl", "Cl", "Cl", "Cl", "Cl"],
  "frac_coords": [[0.000, 0.000, 0.000], [0.374, 0.374, 0.374], [0.374, 0.374, 0.877], [0.374, 0.877, 0.374], [0.750, 0.750, 0.750], [0.877, 0.374, 0.374], [0.139, 0.139, 0.139], [0.139, 0.139, 0.582], [0.139, 0.582, 0.139], [0.144, 0.619, 0.619], [0.582, 0.139, 0.139], [0.619, 0.144, 0.619], [0.619, 0.619, 0.144], [0.619, 0.619, 0.619]],
  "formation_energy_uncorrected_ev_per_atom": -0.596,
  "dos_ef_per_ev_cell": 20.039,
  "energy_ev_per_cell": -44.92,
  "magnetic_moment_mub_per_cell": 2.1,
  "crystal_system": "cubic"
}



{
  "formula": "NaCu2Cl8",
  "functional": "PBE",
  "state": "relaxed",
  "lattice_angstrom": [[-3.481, 3.481, 6.183], [3.481, -3.481, 6.183], [3.481, 3.481, -6.183]],
  "species": ["Na", "Cu", "Cu", "Cl", "Cl", "Cl", "Cl", "Cl", "Cl", "Cl", "Cl"],
  "frac_coords": [[0.000, 0.000, 0.000], [0.250, 0.750, 0.500], [0.750, 0.250, 0.500], [0.033, 0.526, 0.813], [0.219, 0.033, 0.506], [0.287, 0.474, 0.506], [0.474, 0.967, 0.187], [0.526, 0.713, 0.494], [0.713, 0.219, 0.187], [0.781, 0.287, 0.813], [0.967, 0.781, 0.494]],
  "formation_energy_uncorrected_ev_per_atom": -0.479,
  "dos_ef_per_ev_cell": 8.329,
  "energy_ev_per_cell": -29.56,
  "magnetic_moment_mub_per_cell": 1.0,
  "crystal_system": "tetragonal"
}



{
  "formula": "Na4CuCl6",
  "functional": "PBE",
  "state": "relaxed",
  "lattice_angstrom": [[6.621, -3.731, 0.000], [6.621, 3.731, 0.000], [-5.583, 0.000, 12.249]],
  "species": ["Na", "Na", "Na", "Na", "Na", "Na", "Na", "Na", "Cu", "Cu", "Cl", "Cl", "Cl", "Cl", "Cl", "Cl", "Cl", "Cl", "Cl", "Cl", "Cl", "Cl"],
  "frac_coords": [[0.036, 0.298, 0.784], [0.127, 0.873, 0.500], [0.178, 0.538, 0.121], [0.298, 0.036, 0.284], [0.473, 0.740, 0.937], [0.538, 0.178, 0.621], [0.740, 0.473, 0.437], [0.873, 0.127, 0.000], [0.111, 0.691, 0.697], [0.691, 0.111, 0.197], [0.136, 0.516, 0.524], [0.250, 0.815, 0.077], [0.303, 0.873, 0.736], [0.320, 0.419, 0.789], [0.419, 0.320, 0.289], [0.450, 0.878, 0.461], [0.516, 0.136, 0.024], [0.815, 0.250, 0.577], [0.844, 0.916, 0.778], [0.873, 0.303, 0.236], [0.878, 0.450, 0.961], [0.916, 0.844, 0.278]],
  "formation_energy_uncorrected_ev_per_atom": -1.389,
  "dos_ef_per_ev_cell": 7.358,
  "energy_ev_per_cell": -71.47,
  "magnetic_moment_mub_per_cell": 2.0,
  "crystal_system": "monoclinic"
}



{
  "formula": "NaCu3Cl",
  "functional": "PBE",
  "state": "relaxed",
  "lattice_angstrom": [[4.675, 0.000, 0.000], [0.000, 4.675, 0.000], [0.000, 0.000, 4.675]],
  "species": ["Na", "Cu", "Cu", "Cu", "Cl"],
  "frac_coords": [[0.000, 0.000, 0.000], [0.000, 0.500, 0.500], [0.500, 0.000, 0.500], [0.500, 0.500, 0.000], [0.500, 0.500, 0.500]],
  "formation_energy_uncorrected_ev_per_atom": 0.691,
  "polymorph_energy_mev_per_atom": 0.0,
  "dos_ef_per_ev_cell": 3.666,
  "energy_ev_per_cell": -12.00,
  "magnetic_moment_mub_per_cell": 0.0,
  "crystal_system": "cubic"
}



{
  "formula": "Na6CuCl8",
  "functional": "PBE",
  "state": "relaxed",
  "lattice_angstrom": [[0.000, 5.625, 5.625], [5.625, 0.000, 5.625], [5.625, 5.625, 0.000]],
  "species": ["Na", "Na", "Na", "Na", "Na", "Na", "Cu", "Cl", "Cl", "Cl", "Cl", "Cl", "Cl", "Cl", "Cl"],
  "frac_coords": [[0.000, 0.000, 0.500], [0.000, 0.500, 0.000], [0.000, 0.500, 0.500], [0.500, 0.000, 0.000], [0.500, 0.000, 0.500], [0.500, 0.500, 0.000], [0.000, 0.000, 0.000], [0.222, 0.222, 0.778], [0.222, 0.778, 0.222], [0.222, 0.778, 0.778], [0.250, 0.250, 0.250], [0.750, 0.750, 0.750], [0.778, 0.222, 0.222], [0.778, 0.222, 0.778], [0.778, 0.778, 0.222]],
  "formation_energy_uncorrected_ev_per_atom": -1.521,
  "dos_ef_per_ev_cell": 6.140,
  "energy_ev_per_cell": -49.60,
  "magnetic_moment_mub_per_cell": 1.0,
  "crystal_system": "cubic"
}



{
  "formula": "Na3Cu2Cl4",
  "functional": "PBE",
  "state": "relaxed",
  "lattice_angstrom": [[6.822, -4.462, 0.000], [6.822, 4.462, 0.000], [-0.555, 0.000, 7.156]],
  "species": ["Na", "Na", "Na", "Na", "Na", "Na", "Cu", "Cu", "Cu", "Cu", "Cl", "Cl", "Cl", "Cl", "Cl", "Cl", "Cl", "Cl"],
  "frac_coords": [[0.111, 0.889, 0.750], [0.244, 0.463, 0.350], [0.463, 0.244, 0.850], [0.537, 0.756, 0.150], [0.756, 0.537, 0.650], [0.889, 0.111, 0.250], [0.017, 0.347, 0.000], [0.347, 0.017, 0.500], [0.653, 0.983, 0.500], [0.983, 0.653, 0.000], [0.076, 0.245, 0.516], [0.245, 0.076, 0.016], [0.277, 0.606, 0.996], [0.394, 0.723, 0.504], [0.606, 0.277, 0.496], [0.723, 0.394, 0.004], [0.755, 0.924, 0.984], [0.924, 0.755, 0.484]],
  "formation_energy_uncorrected_ev_per_atom": -0.977,
  "dos_ef_per_ev_cell": 5.814,
  "energy_ev_per_cell": -56.66,
  "magnetic_moment_mub_per_cell": 1.5,
  "crystal_system": "monoclinic"
}



{
  "formula": "NaCu3Cl",
  "functional": "PBE",
  "state": "relaxed",
  "lattice_angstrom": [[4.819, 0.000, 0.000], [0.000, 4.819, 0.000], [0.000, 0.000, 4.819]],
  "species": ["Na", "Cu", "Cu", "Cu", "Cl"],
  "frac_coords": [[0.000, 0.000, 0.000], [0.000, 0.000, 0.500], [0.000, 0.500, 0.000], [0.500, 0.000, 0.000], [0.500, 0.500, 0.500]],
  "formation_energy_uncorrected_ev_per_atom": 1.146,
  "polymorph_energy_mev_per_atom": 454.5,
  "dos_ef_per_ev_cell": 3.518,
  "energy_ev_per_cell": -9.73,
  "magnetic_moment_mub_per_cell": 0.0,
  "crystal_system": "cubic"
}



{
  "formula": "Na3CuCl6",
  "functional": "PBE",
  "state": "relaxed",
  "lattice_angstrom": [[6.550, 0.000, 0.000], [0.000, 6.758, 0.000], [-4.203, 0.000, 11.155]],
  "species": ["Na", "Na", "Na", "Na", "Na", "Na", "Cu", "Cu", "Cl", "Cl", "Cl", "Cl", "Cl", "Cl", "Cl", "Cl", "Cl", "Cl", "Cl", "Cl"],
  "frac_coords": [[0.000, 0.000, 0.000], [0.000, 0.500, 0.500], [0.281, 0.105, 0.763], [0.281, 0.395, 0.263], [0.719, 0.605, 0.737], [0.719, 0.895, 0.237], [0.500, 0.000, 0.500], [0.500, 0.500, 0.000], [0.117, 0.008, 0.238], [0.117, 0.492, 0.738], [0.325, 0.684, 0.093], [0.325, 0.816, 0.593], [0.391, 0.228, 0.064], [0.391, 0.272, 0.564], [0.609, 0.728, 0.436], [0.609, 0.772, 0.936], [0.675, 0.184, 0.407], [0.675, 0.316, 0.907], [0.883, 0.508, 0.262], [0.883, 0.992, 0.762]],
  "formation_energy_uncorrected_ev_per_atom": -1.170,
  "polymorph_energy_mev_per_atom": 0.0,
  "energy_ev_per_cell": -61.66,
  "magnetic_moment_mub_per_cell": 0.0,
  "crystal_system": "monoclinic"
}